DFT (PBE-GGA) results for an optimized crystal structure of NaErCdBi.

Geometry as POSCAR:
```
NaErCdBi
1.0
-1.2298 2.0615 -4.8042
-5.0633 1.4132 -1.0993
-1.3037 5.1912 -0.4405
Na Cd Bi Er
1 1 1 1
direct
0.0000 0.0000 0.0000
0.7500 0.7500 0.7500
0.2500 0.2500 0.2500
0.5000 0.5000 0.5000
```

Results
The value obtained for the energy of formation from the pure elements is -0.27 eV/atom.


DFT (PBE-GGA) results for an optimized crystal structure of NdErCdBi.

Geometry as POSCAR:
```
NdErCdBi
1.0
5.4471 0.0000 0.0000
2.7236 4.7173 0.0000
2.7236 1.5724 4.4476
Cd Nd Bi Er
1 1 1 1
direct
0.5000 0.5000 0.5000
0.2500 0.2500 0.2500
0.0000 0.0000 0.0000
0.7500 0.7500 0.7500
```

Results
The value obtained for the energy of formation from the pure elements is -0.42 eV/atom.


DFT (PBE-GGA) results for an optimized crystal structure of Er2CdBiO6.

Geometry as POSCAR:
```
Er2CdBiO6
1.0
5.8003 0.0000 0.0002
2.9001 5.0231 0.0000
2.9000 1.6745 5.1099
Er Cd Bi O
2 1 1 6
direct
0.5219 0.5219 0.4342
0.0207 0.0207 0.9379
0.8013 0.8013 0.5961
0.3107 0.3107 0.0679
0.6245 0.2230 0.2415
0.2229 0.9110 0.2415
0.9110 0.6245 0.2415
0.3990 0.7118 0.7515
0.7118 0.1376 0.7515
0.1377 0.3990 0.7515
```


DFT (PBE-GGA) results for an optimized crystal structure of ErCdBi2O6.

Geometry as POSCAR:
```
ErCdBi2O6
1.0
-5.0307 -2.4694 -1.7830
-3.1391 -3.2960 3.7237
-5.3331 2.2907 2.1759
Er Cd Bi O
1 1 2 6
direct
0.3103 0.3104 0.0690
0.8036 0.8035 0.5893
0.5230 0.5230 0.4309
0.0188 0.0188 0.9437
0.6172 0.2108 0.2408
0.2109 0.9312 0.2407
0.9312 0.6171 0.2408
0.4093 0.7058 0.7533
0.7058 0.1316 0.7533
0.1315 0.4093 0.7534
```


DFT (PBE-GGA) results for an optimized crystal structure of ErCd2BiO6.

Geometry as POSCAR:
```
ErCd2BiO6
1.0
5.7433 0.0001 0.0002
2.8717 4.9739 -0.0001
2.8715 1.6581 5.0190
Er Cd Bi O
1 2 1 6
direct
0.8124 0.8124 0.5627
0.5358 0.5358 0.3926
0.0326 0.0326 0.9022
0.3171 0.3171 0.0486
0.5892 0.1953 0.2634
0.1953 0.9520 0.2634
0.9520 0.5893 0.2634
0.4357 0.6860 0.7729
0.6860 0.1054 0.7729
0.1055 0.4356 0.7729
```


DFT (PBE-GGA) results for an optimized crystal structure of PrErCdBi.

Geometry as POSCAR:
```
PrErCdBi
1.0
-4.8822 0.4888 -2.4087
-1.4652 -3.4929 -3.9408
-3.8993 -3.7112 0.9485
Pr Cd Bi Er
1 1 1 1
direct
0.0000 0.0000 0.0000
0.7500 0.7500 0.7500
0.2500 0.2500 0.2500
0.5000 0.5000 0.5000
```

Results
The value obtained for the energy of formation from the pure elements is -0.43 eV/atom.


DFT (PBE-GGA) results for an optimized crystal structure of ErScCdBi.

Geometry as POSCAR:
```
ErScCdBi
1.0
-3.3420 2.9633 -2.7685
-3.2525 -2.2447 -3.4637
-5.1546 -0.2218 0.9977
Sc Cd Bi Er
1 1 1 1
direct
0.5000 0.5000 0.5000
0.7500 0.7500 0.7500
0.2500 0.2500 0.2500
0.0000 0.0000 0.0000
```

Results
The value obtained for the energy of formation from the pure elements is -0.33 eV/atom.


DFT (PBE-GGA) results for an optimized crystal structure of SmErCdBi.

Geometry as POSCAR:
```
SmErCdBi
1.0
-1.5252 -4.4226 -2.7369
1.7097 -4.8925 1.5864
-3.4882 -3.4981 2.2298
Cd Bi Sm Er
1 1 1 1
direct
0.7500 0.7500 0.7500
0.2500 0.2500 0.2500
0.0000 0.0000 0.0000
0.5000 0.5000 0.5000
```

Results
The value obtained for the energy of formation from the pure elements is -0.42 eV/atom.


| no. | total energy (eV per formula unit) |
| --- | --- |
| 1 | -11.76 |
| 2 | -15.82 |
| 3 | -66.49 |
| 4 | -59.82 |
| 5 | -56.42 |
| 6 | -15.85 |
| 7 | -17.00 |
| 8 | -15.74 |